No. 1
DFT (PBE) results for a geometry-optimized Zr2CdNi structure.

Unit cell a=6.7197 b=4.9941 c=3.2361 alpha=90.07 beta=61.09 gamma=121.07
Positions (direct):
Ni (0.5000, 0.5000, 0.0000)
Cd (0.0000, 0.5000, 0.5000)
Zr (0.0000, 0.0000, 0.0000)
Zr (0.5000, 0.0000, 0.5000)

Results
Space group: C2/m, No. 12

=====

No. 2
DFT (PBE) results for a geometry-optimized ZrCdNi structure.

Unit cell a=4.3853 b=4.3853 c=4.3853 alpha=60.00 beta=60.00 gamma=60.00
Positions (direct):
Ni (0.7500, 0.7500, 0.7500)
Zr (0.0000, 0.0000, 0.0000)
Cd (0.5000, 0.5000, 0.5000)

Results
Space group: F-43m, No. 216

=====

No. 3
DFT (PBE) results for a geometry-optimized Zr2CdNi structure.

Unit cell a=9.5497 b=9.5497 c=9.5497 alpha=18.84 beta=18.84 gamma=18.84
Positions (direct):
Cd (0.2500, 0.2500, 0.2500)
Ni (0.7500, 0.7500, 0.7500)
Zr (0.0111, 0.0111, 0.0111)
Zr (0.4889, 0.4889, 0.4889)

Results
Space group: R-3m, No. 166

=====

No. 4
DFT (PBE) results for a geometry-optimized ZrCdNi structure.

Unit cell a=4.0905 b=3.2665 c=8.4059 alpha=101.00 beta=90.00 gamma=90.00
Positions (direct):
Zr (0.8882, 0.9753, 0.1559)
Zr (0.3882, 0.8048, 0.8127)
Cd (0.8879, 0.1849, 0.5733)
Ni (0.8884, 0.3457, 0.8954)
Ni (0.3885, 0.4344, 0.0731)
Cd (0.3879, 0.5955, 0.3953)

Results
Space group: P2_1/m, No. 11

=====

No. 5
DFT (PBE) results for a geometry-optimized ZrCd3Ni8 structure.

Unit cell a=4.8950 b=4.8950 c=8.4740 alpha=73.21 beta=73.21 gamma=60.00
Positions (direct):
Cd (0.0023, 0.0023, 0.9930)
Ni (0.9383, 0.9383, 0.6841)
Cd (0.4973, 0.4973, 0.5081)
Ni (0.1875, 0.1875, 0.4375)
Ni (0.6874, 0.6874, 0.9377)
Ni (0.9383, 0.4394, 0.6841)
Ni (0.4374, 0.9344, 0.1908)
Cd (0.3740, 0.3740, 0.8780)
Ni (0.4394, 0.9383, 0.6841)
Ni (0.4374, 0.4374, 0.1908)
Zr (0.8764, 0.8764, 0.3709)
Ni (0.9344, 0.4374, 0.1908)

Results
Space group: R3m, No. 160

=====

No. 6
DFT (PBE) results for a geometry-optimized ZrCd2Ni structure.

Unit cell a=3.8012 b=4.2099 c=4.7469 alpha=90.00 beta=90.00 gamma=90.00
Positions (direct):
Cd (0.5000, 0.5000, 0.0000)
Zr (0.0000, 0.5000, 0.5000)
Ni (0.5000, 0.0000, 0.5000)
Cd (0.0000, 0.0000, 0.0000)

Results
Space group: Pmmm, No. 47

=====

No. 7
DFT (PBE) results for a geometry-optimized Zr2CdNi structure.

Unit cell a=4.2183 b=3.3022 c=5.9172 alpha=73.86 beta=90.00 gamma=90.00
Positions (direct):
Cd (0.0000, 0.6896, 0.4949)
Zr (0.5000, 0.3049, 0.2638)
Ni (0.5000, 0.5393, 0.7990)
Zr (0.0000, 0.9662, 0.9422)

Results
Space group: Pm, No. 6

=====

No. 8
DFT (PBE) results for a geometry-optimized Zr2CdNi structure.

Unit cell a=5.3832 b=5.3832 c=5.3832 alpha=135.13 beta=135.13 gamma=65.33
Positions (direct):
Zr (0.2500, 0.7500, 0.5000)
Cd (0.5000, 0.5000, 0.0000)
Zr (0.0000, 0.0000, 0.0000)
Ni (0.7500, 0.2500, 0.5000)

Results
Space group: I-4m2, No. 119

=====

No. 9
DFT (PBE) results for a geometry-optimized Zr3CdNi structure.

Unit cell a=4.8789 b=4.8789 c=4.8789 alpha=90.00 beta=90.00 gamma=90.00
Positions (direct):
Zr (0.0000, 0.5000, 0.0000)
Zr (0.0000, 0.0000, 0.5000)
Zr (0.5000, 0.0000, 0.0000)
Cd (0.5000, 0.5000, 0.5000)
Ni (0.0000, 0.0000, 0.0000)

Results
Space group: Pm-3m, No. 221
Energy above the most stable polymorph in this dataset, eV per atom: 0.000

=====

No. 10
DFT (PBE) results for a geometry-optimized Zr2CdNi structure.

Unit cell a=2.9330 b=3.2186 c=8.7555 alpha=68.57 beta=90.00 gamma=90.00
Positions (direct):
Ni (0.5000, 0.7500, 0.7500)
Zr (0.0000, 0.0372, 0.9618)
Cd (0.5000, 0.2500, 0.2500)
Zr (0.0000, 0.4628, 0.5382)

Results
Space group: P2/m, No. 10

=====

No. 11
DFT (PBE) results for a geometry-optimized Zr2CdNi structure.

Unit cell a=5.1381 b=5.1381 c=5.1381 alpha=130.66 beta=130.66 gamma=72.36
Positions (direct):
Zr (0.0000, 0.0000, 0.0000)
Zr (0.5000, 0.5000, 0.0000)
Ni (0.7500, 0.2500, 0.5000)
Cd (0.2500, 0.7500, 0.5000)

Results
Space group: I4/mmm, No. 139

=====

No. 12
DFT (PBE) results for a geometry-optimized Zr2CdNi structure.

Unit cell a=5.7938 b=5.7938 c=5.7938 alpha=147.78 beta=130.94 gamma=59.92
Positions (direct):
Zr (0.2444, 0.7444, 0.5000)
Cd (0.5367, 0.5367, 0.0000)
Ni (0.7529, 0.2529, 0.5000)
Zr (0.9660, 0.9660, 0.0000)

Results
Space group: Imm2, No. 44

=====

No. 13
DFT (PBE) results for a geometry-optimized Zr2CdNi structure.

Unit cell a=4.7704 b=4.7704 c=4.7704 alpha=60.00 beta=60.00 gamma=60.00
Positions (direct):
Zr (0.0000, 0.0000, 0.0000)
Ni (0.7500, 0.7500, 0.7500)
Cd (0.5000, 0.5000, 0.5000)
Zr (0.2500, 0.2500, 0.2500)

Results
Space group: F-43m, No. 216

=====

No. 14
DFT (PBE) results for a geometry-optimized ZrCd2Ni structure.

Unit cell a=4.7054 b=4.7054 c=4.7054 alpha=120.18 beta=120.20 gamma=89.67
Positions (direct):
Zr (0.7500, 0.2500, 0.5000)
Cd (0.9999, 0.9999, 0.0000)
Cd (0.2500, 0.7500, 0.5000)
Ni (0.5001, 0.5001, 0.0000)

Results
Space group: I-4m2, No. 119

=====

No. 15
DFT (PBE) results for a geometry-optimized Zr2CdNi structure.

Unit cell a=4.3503 b=4.3492 c=4.0426 alpha=90.00 beta=90.00 gamma=90.00
Positions (direct):
Zr (0.0000, 0.0000, 0.0000)
Zr (0.5000, 0.5000, 0.0000)
Ni (0.0000, 0.5000, 0.5000)
Cd (0.5000, 0.0000, 0.5000)

Results
Space group: P4/mmm, No. 123

=====

No. 16
DFT (PBE) results for a geometry-optimized ZrCd2Ni structure.

Unit cell a=9.5787 b=9.5787 c=9.5787 alpha=18.41 beta=18.41 gamma=18.41
Positions (direct):
Cd (0.0111, 0.0111, 0.0111)
Cd (0.4889, 0.4889, 0.4889)
Zr (0.2500, 0.2500, 0.2500)
Ni (0.7500, 0.7500, 0.7500)

Results
Space group: R-3m, No. 166

=====

No. 17
DFT (PBE) results for a geometry-optimized ZrCd2Ni9 structure.

Unit cell a=4.8213 b=4.8213 c=8.4087 alpha=73.34 beta=73.34 gamma=60.00
Positions (direct):
Cd (0.8576, 0.8576, 0.4270)
Ni (0.3339, 0.3339, 0.9982)
Ni (0.9192, 0.4168, 0.2471)
Ni (0.0808, 0.5832, 0.7529)
Ni (0.4168, 0.9192, 0.2471)
Ni (0.6661, 0.6661, 0.0018)
Cd (0.1424, 0.1424, 0.5730)
Ni (0.5832, 0.0808, 0.7529)
Ni (0.4168, 0.4168, 0.2471)
Zr (0.0000, 0.0000, 0.0000)
Ni (0.5000, 0.5000, 0.5000)
Ni (0.5832, 0.5832, 0.7529)

Results
Space group: R-3m, No. 166

=====

No. 18
DFT (PBE) results for a geometry-optimized ZrCd2Ni structure.

Unit cell a=9.3366 b=9.3366 c=9.3366 alpha=19.63 beta=19.63 gamma=19.63
Positions (direct):
Ni (0.4966, 0.4966, 0.4966)
Zr (0.7636, 0.7636, 0.7636)
Cd (0.0012, 0.0012, 0.0012)
Cd (0.2386, 0.2386, 0.2386)

Results
Space group: R3m, No. 160

=====

No. 19
DFT (PBE) results for a geometry-optimized ZrCd2Ni structure.

Unit cell a=3.1830 b=3.1868 c=7.3118 alpha=90.00 beta=90.00 gamma=90.00
Positions (direct):
Zr (0.5000, 0.5000, 0.7500)
Cd (0.0000, 0.0000, 0.4583)
Cd (0.0000, 0.0000, 0.0417)
Ni (0.5000, 0.5000, 0.2500)

Results
Space group: P4/mmm, No. 123

=====

No. 20
DFT (PBE) results for a geometry-optimized ZrCdNi2 structure.

Unit cell a=5.0536 b=5.0536 c=5.0536 alpha=134.95 beta=134.95 gamma=65.61
Positions (direct):
Ni (0.2499, 0.7499, 0.5000)
Zr (0.5001, 0.5001, 0.0000)
Cd (0.7501, 0.2501, 0.5000)
Ni (0.0000, 0.0000, 0.0000)

Results
Space group: I-4m2, No. 119

=====

Calculated formation energy, respectively: -0.045, -0.038, -0.008, -0.349, -0.159, 0.004, -0.082, -0.005, 0.166, -0.198, -0.064, -0.094, 0.151, -0.081, -0.072, 0.108, -0.142, 0.036, -0.009, -0.115 eV/atom.
Theoretical density, respectively: 7.64, 7.31, 7.40, 7.90, 9.00, 8.19, 7.41, 7.67, 6.36, 7.63, 7.69, 7.56, 7.65, 8.47, 7.68, 8.13, 8.78, 7.75, 8.39, 8.37 g/cm³.
Spin magnetization, respectively: 0.000, 0.145, 0.000, 0.000, 0.000, 0.000, 0.000, 0.000, 0.000, 0.000, 0.000, 0.000, 0.508, 0.000, 0.000, 0.000, 0.202, 0.000, 0.021, 0.000 μB per atom.